Entry 1:
Below is an optimized crystal structure of KBa2BiS, with properties calculated at the PBE-GGA level.

Cell: 6.085 6.085 5.747 Å, 90.00 90.00 90.00°
Space group P4/mmm (No. 123)
Unique sites:
K: 0.000 0.000 0.000 (multiplicity 1)
Ba: 0.000 0.500 0.500 (multiplicity 2)
Bi: 0.500 0.500 0.000 (multiplicity 1)
S: 0.000 0.000 0.500 (multiplicity 1)

Results
Total DFT energy (no corrections)   -3.694 eV per atom

Entry 2:
Below is an optimized crystal structure of K2BaScBi, with properties calculated at the PBE-GGA level.

Cell: 6.303 6.303 6.579 Å, 90.00 90.00 90.00°
Space group P4/mmm (No. 123)
Unique sites:
K: 0.000 0.500 0.000 (multiplicity 2)
Ba: 0.000 0.000 0.500 (multiplicity 1)
Sc: 0.000 0.000 0.000 (multiplicity 1)
Bi: 0.500 0.500 0.500 (multiplicity 1)

Results
Energy of formation from the pure elements   334 kJ/mol of formula units
Total DFT energy (no corrections)   -2.175 eV per atom

Entry 3:
Below is an optimized crystal structure of KBa2BiSe4, with properties calculated at the PBE-GGA level.

Cell: 9.115 9.227 12.827 Å, 90.00 90.00 90.00°
Space group Imma (No. 74)
Unique sites:
K: 0.000 0.000 0.000 (multiplicity 4)
Ba: 0.000 0.000 0.500 (multiplicity 4)
Ba: 0.250 0.250 0.250 (multiplicity 4)
Bi: 0.250 0.250 0.750 (multiplicity 4)
Se: 0.000 0.022 0.751 (multiplicity 8)
Se: 0.248 0.250 0.514 (multiplicity 8)

Results
Total DFT energy (no corrections)   -4.182 eV per atom

Entry 4:
Below is an optimized crystal structure of K4Ba2SnBi4, with properties calculated at the PBE-GGA level.

Cell: 19.904 11.590 8.492 Å, 90.00 91.28 90.00°
Space group Cm (No. 8)
Unique sites:
K: 0.000 0.000 0.000 (multiplicity 2)
K: 0.072 0.217 0.459 (multiplicity 4)
K: 0.222 0.215 0.972 (multiplicity 4)
K: 0.299 0.000 0.441 (multiplicity 2)
K: 0.387 0.285 0.273 (multiplicity 4)
Ba: 0.132 0.500 0.775 (multiplicity 2)
Ba: 0.170 0.500 0.274 (multiplicity 2)
Ba: 0.408 0.225 0.773 (multiplicity 4)
Sn: 0.314 0.500 0.645 (multiplicity 2)
Sn: 0.481 0.000 0.150 (multiplicity 2)
Bi: 0.054 0.293 0.038 (multiplicity 4)
Bi: 0.242 0.286 0.544 (multiplicity 4)
Bi: 0.310 0.500 0.996 (multiplicity 2)
Bi: 0.343 0.000 0.022 (multiplicity 2)
Bi: 0.457 0.500 0.567 (multiplicity 2)
Bi: 0.485 0.000 0.506 (multiplicity 2)

Results
Energy of formation from the pure elements   -592 kJ/mol of formula units
Total DFT energy (no corrections)   -3.082 eV per atom

Entry 5:
Below is an optimized crystal structure of KBaSrBi, with properties calculated at the PBE-GGA level.

Cell: 8.890 8.890 8.890 Å, 90.00 90.00 90.00°
Space group F-43m (No. 216)
Unique sites:
K: 0.000 0.000 0.000 (multiplicity 4)
Ba: 0.250 0.250 0.750 (multiplicity 4)
Sr: 0.250 0.250 0.250 (multiplicity 4)
Bi: 0.000 0.000 0.500 (multiplicity 4)

Results
Energy of formation from the pure elements   -113 kJ/mol of formula units
Total DFT energy (no corrections)   -2.439 eV per atom

Entry 6:
Below is an optimized crystal structure of KBa2BiTe4, with properties calculated at the PBE-GGA level.

Cell: 9.671 9.818 13.653 Å, 90.00 90.00 90.00°
Space group Imma (No. 74)
Unique sites:
K: 0.000 0.000 0.000 (multiplicity 4)
Ba: 0.000 0.000 0.500 (multiplicity 4)
Ba: 0.250 0.250 0.250 (multiplicity 4)
Bi: 0.250 0.250 0.750 (multiplicity 4)
Te: 0.000 0.025 0.752 (multiplicity 8)
Te: 0.249 0.250 0.512 (multiplicity 8)

Results
Total DFT energy (no corrections)   -3.784 eV per atom

Entry 7:
Below is an optimized crystal structure of K2BaTl2Bi2, with properties calculated at the PBE-GGA level.

Cell: 5.7668 5.7668 29.6685 Å, 90.00 90.00 120.00°
Space group R-3m (No. 166, hexagonal axes)
Unique sites:
K: 0.0000 0.0000 0.1327 (multiplicity 6)
Ba: 0.0000 0.0000 0.0000 (multiplicity 3)
Tl: 0.0000 0.0000 0.3881 (multiplicity 6)
Bi: 0.0000 0.0000 0.2625 (multiplicity 6)

Results
Energy of formation from the pure elements   -261 kJ/mol of formula units
Total DFT energy (no corrections)   -2.760 eV per atom

Entry 8:
Below is an optimized crystal structure of KBaTl2Bi2, with properties calculated at the PBE-GGA level.

Cell: 5.6260 5.6260 8.0832 Å, 90.00 90.00 120.00°
Space group P-3m1 (No. 164)
Unique sites:
K: 0.0000 0.0000 0.0000 (multiplicity 1)
Ba: 0.0000 0.0000 0.5000 (multiplicity 1)
Tl: 0.3333 0.6667 0.1772 (multiplicity 2)
Bi: 0.3333 0.6667 0.7459 (multiplicity 2)

Results
Energy of formation from the pure elements   -229 kJ/mol of formula units
Total DFT energy (no corrections)   -2.981 eV per atom

Entry 9:
Below is an optimized crystal structure of K2BaTlBi2, with properties calculated at the PBE-GGA level.

Cell: 5.233 10.261 9.211 Å, 90.00 90.00 90.00°
Space group Pmc2_1 (No. 26)
Unique sites:
K: 0.000 0.084 0.000 (multiplicity 2)
K: 0.500 0.169 0.327 (multiplicity 2)
Ba: 0.500 0.450 0.954 (multiplicity 2)
Tl: 0.000 0.317 0.608 (multiplicity 2)
Bi: 0.000 0.394 0.238 (multiplicity 2)
Bi: 0.500 0.168 0.716 (multiplicity 2)

Results
Energy of formation from the pure elements   -294 kJ/mol of formula units
Total DFT energy (no corrections)   -2.881 eV per atom

Entry 10:
Below is an optimized crystal structure of KBaTl4Bi2, with properties calculated at the PBE-GGA level.

Cell: 4.817 4.817 13.587 Å, 90.00 90.00 90.00°
Space group P4/mmm (No. 123)
Unique sites:
K: 0.000 0.000 0.000 (multiplicity 1)
Ba: 0.000 0.000 0.500 (multiplicity 1)
Tl: 0.000 0.500 0.215 (multiplicity 4)
Bi: 0.500 0.500 0.379 (multiplicity 2)

Results
Energy of formation from the pure elements   -232 kJ/mol of formula units
Total DFT energy (no corrections)   -2.832 eV per atom

Entry 11:
Below is an optimized crystal structure of KBaZnBi, with properties calculated at the PBE-GGA level.

Cell: 8.420 8.420 8.420 Å, 90.00 90.00 90.00°
Space group F-43m (No. 216)
Unique sites:
K: 0.000 0.000 0.000 (multiplicity 4)
Ba: 0.000 0.000 0.500 (multiplicity 4)
Zn: 0.250 0.250 0.250 (multiplicity 4)
Bi: 0.250 0.250 0.750 (multiplicity 4)

Results
Energy of formation from the pure elements   -162 kJ/mol of formula units
Total DFT energy (no corrections)   -2.464 eV per atom

Entry 12:
Below is an optimized crystal structure of KBaZn2Bi2, with properties calculated at the PBE-GGA level.

Cell: 4.7805 4.7805 10.3982 Å, 90.00 90.00 120.00°
Space group P-3m1 (No. 164)
Unique sites:
K: 0.0000 0.0000 0.0000 (multiplicity 1)
Ba: 0.0000 0.0000 0.5000 (multiplicity 1)
Zn: 0.3333 0.6667 0.7089 (multiplicity 2)
Bi: 0.3333 0.6667 0.2479 (multiplicity 2)

Results
Energy of formation from the pure elements   -238 kJ/mol of formula units
Total DFT energy (no corrections)   -2.634 eV per atom

Entry 13:
Below is an optimized crystal structure of KBa2ZrBi, with properties calculated at the PBE-GGA level.

Cell: 6.254 6.254 5.914 Å, 90.00 90.00 90.00°
Space group P4/mmm (No. 123)
Unique sites:
K: 0.000 0.000 0.000 (multiplicity 1)
Ba: 0.000 0.500 0.000 (multiplicity 2)
Zr: 0.500 0.500 0.500 (multiplicity 1)
Bi: 0.000 0.000 0.500 (multiplicity 1)

Results
Energy of formation from the pure elements   464 kJ/mol of formula units
Total DFT energy (no corrections)   -2.512 eV per atom

Entry 14:
Below is an optimized crystal structure of BaLa5Bi6, with properties calculated at the PBE-GGA level.

Cell: 8.253 14.315 8.245 Å, 90.00 109.57 90.00°
Space group C2/m (No. 12)
Unique sites:
Ba: 0.000 0.000 0.000 (multiplicity 2)
La: 0.000 0.163 0.500 (multiplicity 4)
La: 0.000 0.332 0.000 (multiplicity 4)
La: 0.000 0.500 0.500 (multiplicity 2)
Bi: 0.238 0.500 0.255 (multiplicity 4)
Bi: 0.240 0.327 0.742 (multiplicity 8)

Results
Energy of formation from the pure elements   -1140 kJ/mol of formula units
Total DFT energy (no corrections)   -5.138 eV per atom

Entry 15:
Below is an optimized crystal structure of Ba5LaBi4, with properties calculated at the PBE-GGA level.

Cell: 22.598 5.152 9.369 Å, 90.00 114.38 90.00°
Space group C2/m (No. 12)
Unique sites:
Ba: 0.000 0.000 0.000 (multiplicity 2)
Ba: 0.166 0.500 0.915 (multiplicity 4)
Ba: 0.167 0.500 0.420 (multiplicity 4)
La: 0.000 0.000 0.500 (multiplicity 2)
Bi: 0.000 0.500 0.265 (multiplicity 4)
Bi: 0.188 0.000 0.689 (multiplicity 4)

Results
Energy of formation from the pure elements   -768 kJ/mol of formula units
Total DFT energy (no corrections)   -3.803 eV per atom

Entry 16:
Below is an optimized crystal structure of Ba5LaBi5, with properties calculated at the PBE-GGA level.

Cell: 16.463 7.026 9.765 Å, 90.00 107.91 90.00°
Space group C2/m (No. 12)
Unique sites:
Ba: 0.000 0.000 0.000 (multiplicity 2)
Ba: 0.175 0.500 0.348 (multiplicity 4)
Ba: 0.184 0.500 0.822 (multiplicity 4)
La: 0.000 0.000 0.500 (multiplicity 2)
Bi: 0.000 0.500 0.500 (multiplicity 2)
Bi: 0.149 0.000 0.337 (multiplicity 4)
Bi: 0.157 0.000 0.822 (multiplicity 4)

Results
Energy of formation from the pure elements   -829 kJ/mol of formula units
Total DFT energy (no corrections)   -3.867 eV per atom

Entry 17:
Below is an optimized crystal structure of BaLa2Bi, with properties calculated at the PBE-GGA level.

Cell: 4.3985 4.3985 32.3892 Å, 90.00 90.00 120.00°
Space group R3m (No. 160, hexagonal axes)
Unique sites:
Ba: 0.0000 0.0000 0.0000 (multiplicity 3)
La: 0.0000 0.0000 0.5617 (multiplicity 3)
La: 0.0000 0.0000 0.7715 (multiplicity 3)
Bi: 0.0000 0.0000 0.1664 (multiplicity 3)

Results
Energy of formation from the pure elements   -120 kJ/mol of formula units
Total DFT energy (no corrections)   -4.226 eV per atom

Entry 18:
Below is an optimized crystal structure of Ba2LaBi2, with properties calculated at the PBE-GGA level.

Cell: 9.186 9.186 4.937 Å, 90.00 90.00 90.00°
Space group P4/mbm (No. 127)
Unique sites:
Ba: 0.141 0.359 0.000 (multiplicity 4)
La: 0.000 0.000 0.500 (multiplicity 2)
Bi: 0.166 0.666 0.500 (multiplicity 4)

Results
Energy of formation from the pure elements   -393 kJ/mol of formula units
Total DFT energy (no corrections)   -4.121 eV per atom

Entry 19:
Below is an optimized crystal structure of BaLa2Bi, with properties calculated at the PBE-GGA level.

Cell: 9.686 9.686 7.065 Å, 90.00 90.00 90.00°
Space group I-42d (No. 122)
Unique sites:
Ba: 0.000 0.000 0.000 (multiplicity 4)
La: 0.206 0.750 0.625 (multiplicity 8)
Bi: 0.000 0.000 0.500 (multiplicity 4)

Results
Energy of formation from the pure elements   -72 kJ/mol of formula units
Total DFT energy (no corrections)   -4.101 eV per atom

Entry 20:
Below is an optimized crystal structure of BaLi2La2Bi2, with properties calculated at the PBE-GGA level.

Cell: 5.0260 5.0260 30.6612 Å, 90.00 90.00 120.00°
Space group R-3m (No. 166, hexagonal axes)
Unique sites:
Ba: 0.0000 0.0000 0.0000 (multiplicity 3)
Li: 0.0000 0.0000 0.4213 (multiplicity 6)
La: 0.0000 0.0000 0.1363 (multiplicity 6)
Bi: 0.0000 0.0000 0.2561 (multiplicity 6)

Results
Energy of formation from the pure elements   -372 kJ/mol of formula units
Total DFT energy (no corrections)   -3.888 eV per atom

Entry 21:
Below is an optimized crystal structure of BaLiLa2Bi, with properties calculated at the PBE-GGA level.

Cell: 6.236 6.236 6.767 Å, 90.00 90.00 90.00°
Space group P4/mmm (No. 123)
Unique sites:
Ba: 0.000 0.000 0.000 (multiplicity 1)
Li: 0.500 0.500 0.000 (multiplicity 1)
La: 0.000 0.500 0.500 (multiplicity 2)
Bi: 0.000 0.000 0.500 (multiplicity 1)

Results
Energy of formation from the pure elements   41 kJ/mol of formula units
Total DFT energy (no corrections)   -3.430 eV per atom

Entry 22:
Below is an optimized crystal structure of BaLi2LaBi2, with properties calculated at the PBE-GGA level.

Cell: 4.9495 4.9495 8.6435 Å, 90.00 90.00 120.00°
Space group P-3m1 (No. 164)
Unique sites:
Ba: 0.0000 0.0000 0.0000 (multiplicity 1)
Li: 0.3333 0.6667 0.7108 (multiplicity 2)
La: 0.0000 0.0000 0.5000 (multiplicity 1)
Bi: 0.3333 0.6667 0.2732 (multiplicity 2)

Results
Energy of formation from the pure elements   -451 kJ/mol of formula units
Total DFT energy (no corrections)   -3.852 eV per atom

Entry 23:
Below is an optimized crystal structure of Ba3Li2La2Bi4, with properties calculated at the PBE-GGA level.

Cell: 5.0960 5.0960 18.5924 Å, 90.00 90.00 120.00°
Space group P-3m1 (No. 164)
Unique sites:
Ba: 0.0000 0.0000 0.0000 (multiplicity 1)
Ba: 0.0000 0.0000 0.2482 (multiplicity 2)
Li: 0.3333 0.6667 0.1221 (multiplicity 2)
La: 0.3333 0.6667 0.5613 (multiplicity 2)
Bi: 0.3333 0.6667 0.3653 (multiplicity 2)
Bi: 0.3333 0.6667 0.8766 (multiplicity 2)

Results
Energy of formation from the pure elements   -822 kJ/mol of formula units
Total DFT energy (no corrections)   -3.954 eV per atom

Entry 24:
Below is an optimized crystal structure of Ba2La4Bi3N2, with properties calculated at the PBE-GGA level.

Cell: 5.060 5.060 28.074 Å, 90.00 90.00 90.00°
Space group I4/mmm (No. 139)
Unique sites:
Ba: 0.000 0.000 0.194 (multiplicity 4)
La: 0.000 0.500 0.082 (multiplicity 8)
Bi: 0.000 0.000 0.330 (multiplicity 4)
Bi: 0.000 0.000 0.500 (multiplicity 2)
N: 0.000 0.000 0.094 (multiplicity 4)

Results
Total DFT energy (no corrections)   -5.778 eV per atom